The following is a DFT calculation (GGA-PBE) of a relaxed structure of TaNb2BiRu.

Calculated values
Symmetry: P4/mmm (123)
DOS(E_F) in states/eV per cell: 4.836
Energy of formation in eV/atom: 0.846
Uncorrected energy in eV per atom: -8.1841

Unit cell a=4.8809 b=4.8371 c=4.8809 alpha=90.00 beta=90.00 gamma=90.00
Last column: nearest neighbours and their distance in Å.
Atoms (fractional coordinates):
Nb 0.5000 0.0000 0.0000  2 Ru 2.44
Nb 0.0000 0.0000 0.5000  2 Ru 2.44
Bi 0.5000 0.5000 0.5000  8 Nb 3.44, 4 Ta 3.45
Ru 0.0000 0.0000 0.0000  2 Ta 2.42, 4 Nb 2.44
Ta 0.0000 0.5000 0.0000  2 Ru 2.42